Entry 1:
DFT (GGA-PBE) results for a geometry-optimized NiSbP2 structure.

abc: 3.5045 3.6698 5.2312
angles: 90.06 90.00 90.00
Element x y z (fractional)
Ni: 0.0000 0.0000 0.5000
P: 0.0000 0.0000 0.0000
P: 0.5000 0.5000 0.0000
Sb: 0.5000 0.5000 0.5000

Values from the calculation:
Space group   Pmmm, No. 47
Uncorrected formation energy   166 meV/atom
DOS at the Fermi energy   0.703 states/eV/atom
Calculated volume   67 Å³ per cell

***

Entry 2:
DFT (GGA-PBE) results for a geometry-optimized Pr2ThCl structure.

abc: 3.6133 3.6133 9.5177
angles: 90.00 90.00 90.00
Element x y z (fractional)
Pr: 0.0000 0.0000 0.7630
Pr: 0.0000 0.0000 0.2370
Th: 0.5000 0.5000 0.5000
Cl: 0.5000 0.5000 0.0000

Values from the calculation:
Space group   P4/mmm, No. 123
Uncorrected formation energy   -562 meV/atom
E above lowest polymorph   0.54 eV per formula unit
DOS at the Fermi energy   0.976 states/eV/atom
Calculated volume   124 Å³ per cell

***

Entry 3:
DFT (GGA-PBE) results for a geometry-optimized RbCrB2Cl8 structure.

abc: 6.1146 6.1146 9.9814
angles: 72.16 72.16 60.00
Site moments in Bohr magnetons follow the coordinates.
Element x y z (fractional)
Rb: 0.5000 0.5000 0.5000  0.00
Cr: 0.0000 0.0000 0.0000  4.30
B: 0.2537 0.2537 0.2389  0.03
B: 0.7463 0.7463 0.7611  0.03
Cl: 0.1872 0.1872 0.4385  0.00
Cl: 0.5649 0.2756 0.1748  0.00
Cl: 0.8128 0.8128 0.5615  0.00
Cl: 0.9847 0.5649 0.1748  0.00
Cl: 0.0153 0.4351 0.8252  0.00
Cl: 0.2756 0.9847 0.1748  0.00
Cl: 0.7244 0.0153 0.8252  0.00
Cl: 0.4351 0.7244 0.8252  0.00

Values from the calculation:
Space group   R-3, No. 148
Uncorrected formation energy   -962 meV/atom
Calculated volume   302 Å³ per cell

***

Entry 4:
DFT (GGA-PBE) results for a geometry-optimized Hf4SnC2 structure.

abc: 3.4217 5.9715 11.9959
angles: 90.00 90.00 106.65
Element x y z (fractional)
Hf: 0.7579 0.5158 0.1018
Hf: 0.7579 0.5158 0.3982
Hf: 0.2421 0.4842 0.8982
Hf: 0.2421 0.4842 0.6018
Hf: 0.9086 0.8172 0.7500
Hf: 0.0914 0.1828 0.2500
Hf: 0.5000 0.0000 0.0000
Hf: 0.5000 0.0000 0.5000
Sn: 0.6076 0.2152 0.7500
Sn: 0.3924 0.7848 0.2500
C: 0.1344 0.2689 0.4401
C: 0.8656 0.7311 0.9401
C: 0.1344 0.2689 0.0599
C: 0.8656 0.7311 0.5599

Values from the calculation:
Space group   Cmcm, No. 63
Formation energy from the elements   -0.663 eV per atom
DOS at the Fermi energy   0.384 states/eV/atom
Calculated volume   235 Å³ per cell

***

Entry 5:
DFT (GGA-PBE) results for a geometry-optimized CuAsSBr2 structure.

abc: 4.7311 4.7311 5.1829
angles: 90.00 90.00 90.00
Element x y z (fractional)
S: 0.5000 0.5000 0.5000
As: 0.0000 0.0000 0.5000
Cu: 0.0000 0.0000 0.0000
Br: 0.0000 0.5000 0.0000
Br: 0.5000 0.0000 0.0000

Values from the calculation:
Space group   P4/mmm, No. 123
Uncorrected formation energy   643 meV/atom
E above lowest polymorph   0.00 eV per formula unit
DOS at the Fermi energy   1.080 states/eV/atom
Calculated volume   116 Å³ per cell

***

Entry 6:
DFT (GGA-PBE) results for a geometry-optimized YAl3Cu8 structure.

abc: 4.9102 4.9102 8.2035
angles: 90.00 90.00 120.00
Element x y z (fractional)
Y: 0.0000 0.0000 0.5701
Al: 0.6667 0.3333 0.4044
Al: 0.6667 0.3333 0.0537
Al: 0.0000 0.0000 0.9542
Cu: 0.3333 0.6667 0.4948
Cu: 0.3333 0.6667 0.0023
Cu: 0.5026 0.0052 0.7640
Cu: 0.5026 0.4974 0.7640
Cu: 0.9948 0.4974 0.7640
Cu: 0.1642 0.3283 0.2429
Cu: 0.1642 0.8358 0.2429
Cu: 0.6717 0.8358 0.2429

Values from the calculation:
Space group   P3m1, No. 156
Formation energy from the elements   -0.176 eV per atom
DOS at the Fermi energy   0.257 states/eV/atom
Calculated volume   171 Å³ per cell

***

Entry 7:
DFT (GGA-PBE) results for a geometry-optimized NpTl2Te2 structure.

abc: 4.5671 4.5688 10.2530
angles: 89.94 77.13 60.01
Site moments in Bohr magnetons follow the coordinates.
Element x y z (fractional)
Np: 0.0000 0.5000 0.5000  4.32
Tl: 0.5780 0.7116 0.1324  0.03
Tl: 0.4220 0.2884 0.8676  0.03
Te: 0.7819 0.1095 0.3267  -0.04
Te: 0.2181 0.8905 0.6733  -0.04

Values from the calculation:
Space group   C2/m, No. 12
Uncorrected formation energy   -341 meV/atom
DOS at the Fermi energy   2.408 states/eV/atom
Calculated volume   179 Å³ per cell

***

Entry 8:
DFT (GGA-PBE) results for a geometry-optimized Y4GaCo structure.

abc: 6.0362 7.8498 7.9829
angles: 114.11 105.66 102.71
Element x y z (fractional)
Y: 0.0321 0.2195 0.8717
Y: 0.7886 0.7019 0.6412
Y: 0.3396 0.6521 0.8717
Y: 0.3525 0.9393 0.6412
Y: 0.6474 0.0607 0.3588
Y: 0.6604 0.3479 0.1283
Y: 0.2114 0.2981 0.3588
Y: 0.9679 0.7805 0.1283
Ga: 0.3805 0.6305 0.2610
Ga: 0.6195 0.3695 0.7390
Co: 0.2500 0.0000 0.9999
Co: 0.7500 0.0000 0.0001

Values from the calculation:
Space group   C2/c, No. 15
Formation energy from the elements   -0.275 eV per atom
DOS at the Fermi energy   1.042 states/eV/atom
Calculated volume   308 Å³ per cell

***

Entry 9:
DFT (GGA-PBE) results for a geometry-optimized Zr2VRuW structure.

abc: 4.9322 4.6937 4.9322
angles: 90.00 90.00 90.00
Site moments in Bohr magnetons follow the coordinates.
Element x y z (fractional)
Ru: 0.0000 0.0000 0.0000  -0.01
Zr: 0.0000 0.0000 0.5000  0.01
Zr: 0.5000 0.0000 0.0000  0.00
W: 0.0000 0.5000 0.0000  -0.16
V: 0.5000 0.5000 0.5000  0.04

Values from the calculation:
Space group   P4/mmm, No. 123
Formation energy from the elements   1.170 eV per atom
DOS at the Fermi energy   1.768 states/eV/atom
Calculated volume   114 Å³ per cell

***

Entry 10:
DFT (GGA-PBE) results for a geometry-optimized Ba4ZnIn2 structure.

abc: 7.3081 7.3081 7.3081
angles: 110.94 108.74 108.74
Element x y z (fractional)
Ba: 0.5000 0.0000 0.0000
Ba: 0.5000 0.5000 0.5000
Ba: 0.0000 0.0000 0.5000
Ba: 0.0000 0.5000 0.0000
Zn: 0.0000 0.0000 0.0000
In: 0.5000 0.5000 0.0000
In: 0.5000 0.0000 0.5000

Values from the calculation:
Space group   I4/mmm, No. 139
Formation energy from the elements   -0.259 eV per atom
DOS at the Fermi energy   0.916 states/eV/atom
Calculated volume   300 Å³ per cell

***

Entry 11:
DFT (GGA-PBE) results for a geometry-optimized AcNdCuRh structure.

abc: 5.1802 5.1802 5.1802
angles: 60.00 60.00 60.00
Element x y z (fractional)
Rh: 0.7500 0.7500 0.7500
Ac: 0.5000 0.5000 0.5000
Nd: 0.0000 0.0000 0.0000
Cu: 0.2500 0.2500 0.2500

Values from the calculation:
Space group   F-43m, No. 216
Formation energy from the elements   -0.348 eV per atom
E above lowest polymorph   0.32 eV per formula unit
DOS at the Fermi energy   0.991 states/eV/atom
Calculated volume   98 Å³ per cell

***

Entry 12:
DFT (GGA-PBE) results for a geometry-optimized Ac6TcNi structure.

abc: 7.2140 7.2134 8.0777
angles: 63.47 63.48 59.99
Element x y z (fractional)
Ac: 0.0853 0.4129 0.7524
Ac: 0.7489 0.0853 0.7527
Ac: 0.5872 0.2510 0.2474
Ac: 0.2511 0.9147 0.2473
Ac: 0.9147 0.5871 0.2476
Ac: 0.4128 0.7490 0.7526
Tc: 0.0000 0.0000 0.0000
Ni: 0.5000 0.5000 0.5000

Values from the calculation:
Space group   R-3, No. 148
Formation energy from the elements   -0.012 eV per atom
DOS at the Fermi energy   0.892 states/eV/atom
Calculated volume   312 Å³ per cell

***

Look up the calculated volume of the eighth one.
308 Å³ per cell

***

Which formula does entry 10 have?
Ba4ZnIn2

***

Copy entry 2 word for word.
DFT (GGA-PBE) results for a geometry-optimized Pr2ThCl structure.

abc: 3.6133 3.6133 9.5177
angles: 90.00 90.00 90.00
Element x y z (fractional)
Pr: 0.0000 0.0000 0.7630
Pr: 0.0000 0.0000 0.2370
Th: 0.5000 0.5000 0.5000
Cl: 0.5000 0.5000 0.0000

Values from the calculation:
Space group   P4/mmm, No. 123
Uncorrected formation energy   -562 meV/atom
E above lowest polymorph   0.54 eV per formula unit
DOS at the Fermi energy   0.976 states/eV/atom
Calculated volume   124 Å³ per cell

***

calculated volume of number 6 (YAl3Cu8)?
171 Å³ per cell